## CaNb2TcSe (SCAN)

Data for a crystal of CaNb2TcSe relaxed with PBEsol. Values from VASP.

Quantum ESPRESSO input file:
```
&SYSTEM
  ibrav = 0, nat = 5, ntyp = 4
/
ATOMIC_SPECIES
Ca 40.08 Ca.upf
Nb 92.91 Nb.upf
Tc 98.00 Tc.upf
Se 78.96 Se.upf
CELL_PARAMETERS angstrom
4.661 0.000 0.000
0.000 4.661 0.000
0.000 0.000 4.852
ATOMIC_POSITIONS angstrom
Ca 0.000 0.000 0.000
Nb 0.000 2.331 0.000
Nb 2.331 0.000 0.000
Tc 2.331 2.331 2.426
Se 0.000 0.000 2.426
```

Output
symmetry	P4/mmm (123)
formation energy (no corrections)	2.31	eV per atom
total DFT energy (no corrections)	-23.905	eV/atom

=====

## CdIn2Re (SCAN)

Data for a crystal of CdIn2Re relaxed with PBEsol. Values from VASP.

Quantum ESPRESSO input file:
```
&SYSTEM
  ibrav = 0, nat = 4, ntyp = 3
/
ATOMIC_SPECIES
Cd 112.41 Cd.upf
In 114.82 In.upf
Re 186.21 Re.upf
CELL_PARAMETERS angstrom
3.050 0.000 0.000
0.000 4.148 0.000
0.000 0.000 5.961
ATOMIC_POSITIONS angstrom
Cd 0.000 0.000 0.000
In 1.525 2.074 1.576
In 1.525 2.074 4.384
Re 0.000 0.000 2.980
```

Output
symmetry	Pmmm (47)
total DFT energy (no corrections)	-41.530	eV/atom
ΔE_f	541	meV/atom

=====

## Hg2MoAu (SCAN)

Data for a crystal of Hg2MoAu relaxed with PBEsol. Values from VASP.

Quantum ESPRESSO input file:
```
&SYSTEM
  ibrav = 0, nat = 4, ntyp = 3
/
ATOMIC_SPECIES
Hg 200.59 Hg.upf
Mo 95.94 Mo.upf
Au 196.97 Au.upf
CELL_PARAMETERS angstrom
2.871 0.000 0.000
0.000 2.871 0.000
0.000 0.000 8.856
ATOMIC_POSITIONS angstrom
Hg 0.000 0.000 0.000
Hg 1.435 1.435 2.515
Mo 0.000 0.000 4.654
Au 1.435 1.435 6.572
```

Output
symmetry	P4mm (99)
total DFT energy (no corrections)	-59.755	eV/atom
ΔE_f	339	meV/atom
distance to the lowest polymorph of the same formula	0	meV/atom

=====

## PWN2 (SCAN)

Data for a crystal of PWN2 relaxed with PBEsol. Values from VASP.

Quantum ESPRESSO input file:
```
&SYSTEM
  ibrav = 0, nat = 4, ntyp = 3
/
ATOMIC_SPECIES
P 30.97 P.upf
W 183.84 W.upf
N 14.01 N.upf
CELL_PARAMETERS angstrom
0.000 2.654 2.654
2.654 0.000 2.654
2.654 2.654 0.000
ATOMIC_POSITIONS angstrom
P 0.000 0.000 0.000
W 2.654 2.654 2.654
N 1.327 1.327 1.327
N 3.981 3.981 3.981
```

Output
symmetry	Fm-3m (225)
formation energy (no corrections)	1.19	eV per atom
total DFT energy (no corrections)	-23.477	eV/atom

=====

## LiBi2Se (SCAN)

Data for a crystal of LiBi2Se relaxed with PBEsol. Values from VASP.

Quantum ESPRESSO input file:
```
&SYSTEM
  ibrav = 0, nat = 8, ntyp = 3
/
ATOMIC_SPECIES
Li 6.94 Li.upf
Bi 208.98 Bi.upf
Se 78.96 Se.upf
CELL_PARAMETERS angstrom
-2.231 2.231 10.919
2.231 -2.231 10.919
2.231 2.231 -10.919
ATOMIC_POSITIONS angstrom
Li 0.000 0.000 0.000
Li 0.000 2.231 5.459
Bi 1.116 -1.035 8.189
Bi 1.196 1.116 2.730
Bi 1.116 3.266 -2.730
Bi 1.035 1.116 13.648
Se 2.231 0.000 5.459
Se 0.000 0.000 10.919
```

Output
symmetry	I-42d (122)
formation energy (no corrections)	-0.22	eV per atom
total DFT energy (no corrections)	-45.125	eV/atom

=====

## Be2InPb (SCAN)

Data for a crystal of Be2InPb relaxed with PBEsol. Values from VASP.

Quantum ESPRESSO input file:
```
&SYSTEM
  ibrav = 0, nat = 4, ntyp = 3
/
ATOMIC_SPECIES
Be 9.01 Be.upf
In 114.82 In.upf
Pb 207.20 Pb.upf
CELL_PARAMETERS angstrom
-1.687 1.907 6.031
1.687 -1.907 6.031
1.687 1.907 -6.031
ATOMIC_POSITIONS angstrom
Be 0.000 0.000 0.000
Be 0.000 1.907 1.031
In 1.687 0.000 2.028
Pb 0.000 0.000 4.810
```

Output
symmetry	Imm2 (44)
total DFT energy (no corrections)	-28.977	eV/atom
ΔE_f	492	meV/atom
distance to the lowest polymorph of the same formula	0	meV/atom

=====

## ZnCrPO5 (SCAN)

Data for a crystal of ZnCrPO5 relaxed with PBEsol. Values from VASP.

Quantum ESPRESSO input file:
```
&SYSTEM
  ibrav = 0, nat = 16, ntyp = 4
/
ATOMIC_SPECIES
Zn 65.41 Zn.upf
Cr 52.00 Cr.upf
P 30.97 P.upf
O 16.00 O.upf
CELL_PARAMETERS angstrom
3.589 -3.981 0.000
3.589 3.981 0.000
-3.370 0.000 6.250
ATOMIC_POSITIONS angstrom
Zn 1.904 2.498 3.125
Zn 3.589 -2.498 0.000
Cr 2.751 0.002 1.523
Cr 1.066 -0.002 4.648
P 0.219 2.792 6.209
P 1.904 -2.792 3.084
O -0.722 0.160 3.772
O 0.963 -0.160 0.647
O 2.842 1.927 0.988
O 0.970 1.936 5.170
O 1.904 0.669 3.083
O 0.219 -0.669 6.208
O 1.157 -1.927 4.112
O 2.655 -1.936 2.045
O 4.535 0.152 2.404
O 2.849 -0.152 5.529
```

Output
symmetry	Cc (9)
formation energy (no corrections)	-2.29	eV per atom
total DFT energy (no corrections)	-11.475	eV/atom

=====

## K2IrRh (SCAN)

Data for a crystal of K2IrRh relaxed with PBEsol. Values from VASP.

Quantum ESPRESSO input file:
```
&SYSTEM
  ibrav = 0, nat = 4, ntyp = 3
/
ATOMIC_SPECIES
K 39.10 K.upf
Ir 192.22 Ir.upf
Rh 102.91 Rh.upf
CELL_PARAMETERS angstrom
2.720 0.000 0.000
0.000 2.720 0.000
0.000 0.000 10.583
ATOMIC_POSITIONS angstrom
K 0.000 0.000 2.650
K 0.000 0.000 7.933
Ir 1.360 1.360 0.000
Rh 1.360 1.360 5.292
```

Output
symmetry	P4/mmm (123)
total DFT energy (no corrections)	-29.555	eV/atom
ΔE_f	827	meV/atom
distance to the lowest polymorph of the same formula	452	meV/atom

=====

## Ti3CuO8 (SCAN)

Data for a crystal of Ti3CuO8 relaxed with PBEsol. Values from VASP.

Quantum ESPRESSO input file:
```
&SYSTEM
  ibrav = 0, nat = 12, ntyp = 3
/
ATOMIC_SPECIES
Ti 47.87 Ti.upf
Cu 63.55 Cu.upf
O 16.00 O.upf
CELL_PARAMETERS angstrom
3.768 0.000 0.000
0.000 3.768 0.000
0.000 0.000 9.456
ATOMIC_POSITIONS angstrom
Ti 0.000 0.000 0.000
Ti 0.000 1.884 2.417
Ti 1.884 0.000 7.039
Cu 1.884 1.884 4.728
O 0.000 0.000 1.985
O 0.000 0.000 7.471
O 0.000 1.884 0.413
O 0.000 1.884 4.372
O 1.884 0.000 5.084
O 1.884 0.000 9.043
O 1.884 1.884 2.851
O 1.884 1.884 6.605
```

Output
symmetry	P-4m2 (115)
formation energy (no corrections)	-2.51	eV per atom
total DFT energy (no corrections)	-11.934	eV/atom

=====

## Sc2HgBr (SCAN)

Data for a crystal of Sc2HgBr relaxed with PBEsol. Values from VASP.

Quantum ESPRESSO input file:
```
&SYSTEM
  ibrav = 0, nat = 4, ntyp = 3
/
ATOMIC_SPECIES
Sc 44.96 Sc.upf
Hg 200.59 Hg.upf
Br 79.90 Br.upf
CELL_PARAMETERS angstrom
3.173 -1.826 0.000
3.173 1.826 0.000
-2.099 0.000 7.436
ATOMIC_POSITIONS angstrom
Sc 1.060 0.000 1.760
Sc 3.186 0.000 5.676
Hg -1.050 0.000 3.718
Br 3.173 0.000 0.000
```

Output
symmetry	C2/m (12)
formation energy (no corrections)	-0.70	eV per atom
total DFT energy (no corrections)	-29.727	eV/atom

=====

## LaCu2Ni (SCAN)

Data for a crystal of LaCu2Ni relaxed with PBEsol. Values from VASP.

Quantum ESPRESSO input file:
```
&SYSTEM
  ibrav = 0, nat = 4, ntyp = 3
/
ATOMIC_SPECIES
La 138.91 La.upf
Cu 63.55 Cu.upf
Ni 58.69 Ni.upf
CELL_PARAMETERS angstrom
0.000 3.022 4.413
2.530 0.000 4.413
2.530 3.022 0.000
ATOMIC_POSITIONS angstrom
La 0.000 0.000 0.000
Cu 2.530 1.511 2.207
Cu 0.000 1.511 2.207
Ni 2.530 3.022 4.413
```

Output
symmetry	Fmmm (69)
total DFT energy (no corrections)	-22.219	eV/atom
ΔE_f	200	meV/atom

=====

## AlPIr2 (SCAN)

Data for a crystal of AlPIr2 relaxed with PBEsol. Values from VASP.

Quantum ESPRESSO input file:
```
&SYSTEM
  ibrav = 0, nat = 4, ntyp = 3
/
ATOMIC_SPECIES
Al 26.98 Al.upf
P 30.97 P.upf
Ir 192.22 Ir.upf
CELL_PARAMETERS angstrom
2.844 0.000 0.000
0.000 2.844 0.000
0.000 0.000 7.225
ATOMIC_POSITIONS angstrom
Al 0.000 0.000 0.000
P 1.422 1.422 4.905
Ir 0.000 0.000 3.566
Ir 1.422 1.422 1.521
```

Output
symmetry	P4mm (99)
total DFT energy (no corrections)	-40.287	eV/atom
ΔE_f	-199	meV/atom
distance to the lowest polymorph of the same formula	293	meV/atom

=====

## Y3RuN (SCAN)

Data for a crystal of Y3RuN relaxed with PBEsol. Values from VASP.

Quantum ESPRESSO input file:
```
&SYSTEM
  ibrav = 0, nat = 5, ntyp = 3
/
ATOMIC_SPECIES
Y 88.91 Y.upf
Ru 101.07 Ru.upf
N 14.01 N.upf
CELL_PARAMETERS angstrom
5.137 0.000 0.000
0.000 5.137 0.000
0.000 0.000 5.137
ATOMIC_POSITIONS angstrom
Y 0.000 0.000 2.569
Y 0.000 2.569 0.000
Y 2.569 0.000 0.000
Ru 0.000 0.000 0.000
N 2.569 2.569 2.569
```

Output
symmetry	Pm-3m (221)
formation energy (no corrections)	0.72	eV per atom
total DFT energy (no corrections)	-24.806	eV/atom

=====

## HfTePS2 (SCAN)

Data for a crystal of HfTePS2 relaxed with PBEsol. Values from VASP.

Quantum ESPRESSO input file:
```
&SYSTEM
  ibrav = 0, nat = 5, ntyp = 4
/
ATOMIC_SPECIES
Hf 178.49 Hf.upf
Te 127.60 Te.upf
P 30.97 P.upf
S 32.06 S.upf
CELL_PARAMETERS angstrom
4.757 0.000 0.000
0.000 4.757 0.000
0.000 0.000 5.223
ATOMIC_POSITIONS angstrom
Hf 0.000 0.000 0.000
Te 2.379 2.379 2.611
P 0.000 0.000 2.611
S 0.000 2.379 0.000
S 2.379 0.000 0.000
```

Output
symmetry	P4/mmm (123)
formation energy (no corrections)	-0.15	eV per atom
total DFT energy (no corrections)	-26.069	eV/atom

=====

## YTeCl (SCAN)

Data for a crystal of YTeCl relaxed with PBEsol. Values from VASP.

Quantum ESPRESSO input file:
```
&SYSTEM
  ibrav = 0, nat = 3, ntyp = 3
/
ATOMIC_SPECIES
Y 88.91 Y.upf
Te 127.60 Te.upf
Cl 35.45 Cl.upf
CELL_PARAMETERS angstrom
0.000 2.710 6.597
2.340 0.000 6.597
2.340 2.710 0.000
ATOMIC_POSITIONS angstrom
Y 0.000 0.000 0.000
Te 2.340 2.710 8.427
Cl 2.340 2.710 4.983
```

Output
symmetry	Fmm2 (42)
formation energy (no corrections)	-1.61	eV per atom
total DFT energy (no corrections)	-25.967	eV/atom

=====

## NiOsRh (SCAN)

Data for a crystal of NiOsRh relaxed with PBEsol. Values from VASP.

Quantum ESPRESSO input file:
```
&SYSTEM
  ibrav = 0, nat = 3, ntyp = 3
/
ATOMIC_SPECIES
Ni 58.69 Ni.upf
Os 190.23 Os.upf
Rh 102.91 Rh.upf
CELL_PARAMETERS angstrom
-1.330 1.330 5.392
1.330 -1.330 5.392
1.330 1.330 -5.392
ATOMIC_POSITIONS angstrom
Ni 0.000 0.000 0.000
Os 0.000 0.000 7.109
Rh 0.000 0.000 3.561
```

Output
symmetry	I4mm (107)
total DFT energy (no corrections)	-40.499	eV/atom
ΔE_f	109	meV/atom
distance to the lowest polymorph of the same formula	48	meV/atom

=====

## YBPt3 (SCAN)

Data for a crystal of YBPt3 relaxed with PBEsol. Values from VASP.

Quantum ESPRESSO input file:
```
&SYSTEM
  ibrav = 0, nat = 5, ntyp = 3
/
ATOMIC_SPECIES
Y 88.91 Y.upf
B 10.81 B.upf
Pt 195.08 Pt.upf
CELL_PARAMETERS angstrom
5.024 0.000 0.000
0.000 5.024 0.000
0.000 0.000 5.024
ATOMIC_POSITIONS angstrom
Y 0.000 0.000 0.000
B 2.512 2.512 2.512
Pt 0.000 0.000 2.512
Pt 0.000 2.512 0.000
Pt 2.512 0.000 0.000
```

Output
symmetry	Pm-3m (221)
total DFT energy (no corrections)	-47.211	eV/atom
ΔE_f	1959	meV/atom

=====

## ScBi2H (SCAN)

Data for a crystal of ScBi2H relaxed with PBEsol. Values from VASP.

Quantum ESPRESSO input file:
```
&SYSTEM
  ibrav = 0, nat = 8, ntyp = 3
/
ATOMIC_SPECIES
Sc 44.96 Sc.upf
Bi 208.98 Bi.upf
H 1.01 H.upf
CELL_PARAMETERS angstrom
-3.447 3.447 3.538
3.447 -3.447 3.538
3.447 3.447 -3.538
ATOMIC_POSITIONS angstrom
Sc 0.000 0.000 0.000
Sc 0.000 3.447 1.769
Bi 1.723 2.335 -0.885
Bi 4.559 1.723 0.885
Bi 1.723 1.112 2.654
Bi -1.112 1.723 4.423
H 3.447 0.000 1.769
H 0.000 0.000 3.538
```

Output
symmetry	I-42d (122)
total DFT energy (no corrections)	-43.663	eV/atom

=====

## ScCoHg2 (SCAN)

Data for a crystal of ScCoHg2 relaxed with PBEsol. Values from VASP.

Quantum ESPRESSO input file:
```
&SYSTEM
  ibrav = 0, nat = 4, ntyp = 3
/
ATOMIC_SPECIES
Sc 44.96 Sc.upf
Co 58.93 Co.upf
Hg 200.59 Hg.upf
CELL_PARAMETERS angstrom
3.142 0.000 0.000
0.000 3.142 0.000
0.000 0.000 7.235
ATOMIC_POSITIONS angstrom
Sc 0.000 0.000 0.000
Co 1.571 1.571 1.365
Hg 0.000 0.000 2.982
Hg 1.571 1.571 5.149
```

Output
symmetry	P4mm (99)
total DFT energy (no corrections)	-42.106	eV/atom
ΔE_f	-138	meV/atom

=====

## Te2RhW (SCAN)

Data for a crystal of Te2RhW relaxed with PBEsol. Values from VASP.

Quantum ESPRESSO input file:
```
&SYSTEM
  ibrav = 0, nat = 4, ntyp = 3
/
ATOMIC_SPECIES
Te 127.60 Te.upf
Rh 102.91 Rh.upf
W 183.84 W.upf
CELL_PARAMETERS angstrom
1.645 0.950 7.999
-1.645 0.950 7.999
0.000 -1.900 7.999
ATOMIC_POSITIONS angstrom
Te 0.000 0.000 6.008
Te 0.000 0.000 17.990
Rh 0.000 0.000 11.999
W 0.000 0.000 0.000
```

Output
symmetry	R-3m (166)
formation energy (no corrections)	0.35	eV per atom
total DFT energy (no corrections)	-44.140	eV/atom
distance to the lowest polymorph of the same formula	0	meV/atom

=====

## Sc2AgPd2 (SCAN)

Data for a crystal of Sc2AgPd2 relaxed with PBEsol. Values from VASP.

Quantum ESPRESSO input file:
```
&SYSTEM
  ibrav = 0, nat = 10, ntyp = 3
/
ATOMIC_SPECIES
Sc 44.96 Sc.upf
Ag 107.87 Ag.upf
Pd 106.42 Pd.upf
CELL_PARAMETERS angstrom
7.362 0.000 0.000
0.000 7.362 0.000
0.000 0.000 3.299
ATOMIC_POSITIONS angstrom
Sc 1.234 2.447 0.000
Sc 2.447 6.128 0.000
Sc 4.915 1.234 0.000
Sc 6.128 4.915 0.000
Ag 0.000 0.000 1.650
Ag 3.681 3.681 1.650
Pd 0.977 4.658 1.650
Pd 2.704 0.977 1.650
Pd 4.658 6.385 1.650
Pd 6.385 2.704 1.650
```

Output
symmetry	P4/mbm (127)
total DFT energy (no corrections)	-25.851	eV/atom
ΔE_f	-773	meV/atom

=====

## LiCa3Mn (SCAN)

Data for a crystal of LiCa3Mn relaxed with PBEsol. Values from VASP.

Quantum ESPRESSO input file:
```
&SYSTEM
  ibrav = 0, nat = 5, ntyp = 3
/
ATOMIC_SPECIES
Li 6.94 Li.upf
Ca 40.08 Ca.upf
Mn 54.94 Mn.upf
CELL_PARAMETERS angstrom
5.507 0.000 0.000
0.000 5.507 0.000
0.000 0.000 5.507
ATOMIC_POSITIONS angstrom
Li 0.000 0.000 0.000
Ca 0.000 2.754 2.754
Ca 2.754 0.000 2.754
Ca 2.754 2.754 0.000
Mn 2.754 2.754 2.754
```

Output
symmetry	Pm-3m (221)
total DFT energy (no corrections)	-9.562	eV/atom
ΔE_f	365	meV/atom

=====

## Te2RuNO (SCAN)

Data for a crystal of Te2RuNO relaxed with PBEsol. Values from VASP.

Quantum ESPRESSO input file:
```
&SYSTEM
  ibrav = 0, nat = 5, ntyp = 4
/
ATOMIC_SPECIES
Te 127.60 Te.upf
Ru 101.07 Ru.upf
N 14.01 N.upf
O 16.00 O.upf
CELL_PARAMETERS angstrom
5.214 0.000 0.000
0.000 5.214 0.000
0.000 0.000 3.545
ATOMIC_POSITIONS angstrom
Te 0.000 2.607 0.000
Te 2.607 0.000 0.000
Ru 0.000 0.000 0.000
N 0.000 0.000 1.773
O 2.607 2.607 1.773
```

Output
symmetry	P4/mmm (123)
formation energy (no corrections)	0.70	eV per atom
total DFT energy (no corrections)	-24.270	eV/atom
distance to the lowest polymorph of the same formula	0	meV/atom

=====

## Nd2Si3Rh (SCAN)

Data for a crystal of Nd2Si3Rh relaxed with PBEsol. Values from VASP.

Quantum ESPRESSO input file:
```
&SYSTEM
  ibrav = 0, nat = 24, ntyp = 3
/
ATOMIC_SPECIES
Nd 144.24 Nd.upf
Si 28.09 Si.upf
Rh 102.91 Rh.upf
CELL_PARAMETERS angstrom
8.207 0.000 0.000
-4.103 7.107 0.000
0.000 0.000 8.179
ATOMIC_POSITIONS angstrom
Nd 0.000 0.000 2.045
Nd 0.000 0.000 6.134
Nd -1.982 3.594 2.045
Nd 1.982 3.594 2.045
Nd 0.000 7.027 2.045
Nd 4.103 0.080 6.134
Nd 2.121 3.513 6.134
Nd 6.085 3.513 6.134
Si 0.000 2.375 0.005
Si 0.000 2.375 4.084
Si -2.047 5.920 0.005
Si -2.047 5.920 4.084
Si 2.056 1.187 4.095
Si 2.056 1.187 8.174
Si 2.047 5.920 0.005
Si 2.047 5.920 4.084
Si 6.150 1.187 4.095
Si 6.150 1.187 8.174
Si 4.103 4.733 4.095
Si 4.103 4.733 8.174
Rh 0.000 4.738 4.292
Rh 0.000 4.738 7.977
Rh 4.103 2.369 0.203
Rh 4.103 2.369 3.887
```

Output
symmetry	P6_3/mmc (194)
formation energy (no corrections)	-0.97	eV per atom
total DFT energy (no corrections)	-26.129	eV/atom